Below is Be2Sn2Pd3 after structural relaxation, with properties calculated at the GGA-PBE level.

a b c (Å): 4.3233 4.3233 20.9371
angles (deg): 90.00 90.00 120.00
Space group R3m (No. 160, hexagonal axes)
Symmetry-distinct sites (fractional):
Be (0.0000, 0.0000, 0.0000) x3
Be (0.0000, 0.0000, 0.4951) x3
Sn (0.0000, 0.0000, 0.2394) x3
Sn (0.0000, 0.0000, 0.7544) x3
Pd (0.0000, 0.0000, 0.3721) x3
Pd (0.0000, 0.0000, 0.6263) x3
Pd (0.0000, 0.0000, 0.8764) x3

Calculated values
total energy	-32.93	eV per formula unit

=====

Below is CdH4Br3N after structural relaxation, with properties calculated at the GGA-PBE level.

a b c (Å): 7.544 6.771 7.549
angles (deg): 90.00 119.92 90.00
Space group P2_1 (No. 4)
Symmetry-distinct sites (fractional):
Cd (0.000, 0.000, 0.000) x2
H (0.201, 0.239, 0.665) x2
H (0.335, 0.239, 0.535) x2
H (0.335, 0.438, 0.668) x2
H (0.465, 0.237, 0.798) x2
Br (0.114, 0.747, 0.336) x2
Br (0.222, 0.747, 0.886) x2
Br (0.336, 0.247, 0.222) x2
N (0.334, 0.285, 0.666) x2

Calculated values
energy relative to the lowest polymorph listed for this composition	0.000	eV per atom

=====

Below is Lu2MgIr3 after structural relaxation, with properties calculated at the GGA-PBE level.

a b c (Å): 5.4941 5.4941 8.1598
angles (deg): 90.00 90.00 120.00
Space group P6_3/mmc (No. 194)
Symmetry-distinct sites (fractional):
Lu (0.3333, 0.6667, 0.0629) x4
Mg (0.0000, 0.0000, 0.0000) x2
Ir (0.1714, 0.3429, 0.7500) x6

Calculated values
total energy	-41.52	eV per formula unit
total moment	0.0	μB per formula unit

=====

Below is PrErIn2Pd4 after structural relaxation, with properties calculated at the GGA-PBE level.

a b c (Å): 4.6177 4.6177 9.0588
angles (deg): 90.00 90.00 120.00
Space group P-6m2 (No. 187)
Symmetry-distinct sites (fractional):
Pr (0.0000, 0.0000, 0.0000) x1
Er (0.3333, 0.6667, 0.5000) x1
In (0.6667, 0.3333, 0.2596) x2
Pd (0.0000, 0.0000, 0.3413) x2
Pd (0.3333, 0.6667, 0.1737) x2

Calculated values
total energy	-41.91	eV per formula unit
total moment	0.0	μB per formula unit

=====

Below is AlOsPb2 after structural relaxation, with properties calculated at the GGA-PBE level.

a b c (Å): 6.981 6.981 6.981
angles (deg): 90.00 90.00 90.00
Space group F-43m (No. 216)
Symmetry-distinct sites (fractional):
Al (0.000, 0.000, 0.000) x4
Os (0.250, 0.250, 0.250) x4
Pb (0.000, 0.000, 0.500) x4
Pb (0.250, 0.250, 0.750) x4

Calculated values
total energy	-19.19	eV per formula unit
total moment	0.0	μB per formula unit

=====

Below is Th2GeS after structural relaxation, with properties calculated at the GGA-PBE level.

a b c (Å): 7.324 4.220 7.111
angles (deg): 90.00 110.01 90.00
Space group C2/m (No. 12)
Symmetry-distinct sites (fractional):
Th (0.247, 0.000, 0.242) x4
Ge (0.000, 0.000, 0.500) x2
S (0.000, 0.500, 0.000) x2

Calculated values
total energy	-28.88	eV per formula unit
total moment	0.0	μB per formula unit

=====

Q: What is the formula in the sixth record?
A: Th2GeS